GaHgPb3: relaxed, GGA-PBE.

Results
The value obtained for the size of the total moment is 0.000 μB per cell. The calculated formation energy comes out at 0.083 eV/atom.

abc: 4.576 7.144 9.115
angles: 90.00 90.00 90.00
Fractional positions:
Hg 0.750 0.250 0.142
Hg 0.250 0.750 0.858
Pb 0.250 0.998 0.312
Pb 0.750 0.750 0.095
Pb 0.250 0.502 0.312
Pb 0.250 0.250 0.905
Pb 0.750 0.498 0.688
Pb 0.750 0.002 0.688
Ga 0.250 0.250 0.570
Ga 0.750 0.750 0.430